Here is an optimized crystal structure of Ho5InGe2 from the Alexandria database. Energies are from PBE. Values from VASP.

- space-group type = I4/mcm (140)
- DFT formation energy (kJ/mol of atoms) = -62.9
- density of states at the Fermi level (states/eV/cell) = 11.1
- final energy (eV/atom) = -5.010

Cell and atoms, written as Quantum ESPRESSO input:
```
&SYSTEM
  ibrav = 0, nat = 16, ntyp = 3
/
ATOMIC_SPECIES
Ho 164.93 Ho.upf
In 114.82 In.upf
Ge 72.64 Ge.upf
CELL_PARAMETERS angstrom
-3.905 3.905 6.857
3.905 -3.905 6.857
3.905 3.905 -6.857
ATOMIC_POSITIONS crystal
Ho 0.000 0.000 0.000
Ho 0.019 0.519 0.819
Ho 0.199 0.019 0.500
Ho 0.301 0.801 0.819
Ho 0.481 0.301 0.500
Ho 0.500 0.500 0.000
Ho 0.519 0.699 0.500
Ho 0.699 0.199 0.181
Ho 0.801 0.981 0.500
Ho 0.981 0.481 0.181
In 0.250 0.250 0.000
In 0.750 0.750 0.000
Ge 0.144 0.356 0.500
Ge 0.356 0.856 0.213
Ge 0.644 0.144 0.787
Ge 0.856 0.644 0.500
```

---

Here is an optimized crystal structure of HoInGe2 from the Alexandria database. Energies are from PBE. Values from VASP.

- E above lowest polymorph (meV per atom) = 0.0
- space-group type = P4/mmm (123)
- DFT formation energy (kJ/mol of atoms) = -37.8
- density of states at the Fermi level (states/eV/cell) = 2.3
- final energy (eV/atom) = -4.529

Cell and atoms, written as Quantum ESPRESSO input:
```
&SYSTEM
  ibrav = 0, nat = 4, ntyp = 3
/
ATOMIC_SPECIES
Ho 164.93 Ho.upf
In 114.82 In.upf
Ge 72.64 Ge.upf
CELL_PARAMETERS angstrom
4.600 0.000 0.000
0.000 4.600 0.000
0.000 0.000 4.083
ATOMIC_POSITIONS crystal
Ho 0.000 0.000 0.000
In 0.500 0.500 0.000
Ge 0.000 0.500 0.500
Ge 0.500 0.000 0.500
```

---

Here is an optimized crystal structure of Ho5In2Ge2 from the Alexandria database. Energies are from PBE. Values from VASP.

- space-group type = Cmce (64)
- DFT formation energy (kJ/mol of atoms) = -58.9
- density of states at the Fermi level (states/eV/cell) = 12.5
- final energy (eV/atom) = -4.788

Cell and atoms, written as Quantum ESPRESSO input:
```
&SYSTEM
  ibrav = 0, nat = 18, ntyp = 3
/
ATOMIC_SPECIES
Ho 164.93 Ho.upf
In 114.82 In.upf
Ge 72.64 Ge.upf
CELL_PARAMETERS angstrom
7.829 -3.881 0.000
7.829 3.881 0.000
0.000 0.000 7.747
ATOMIC_POSITIONS crystal
Ho 0.000 0.000 0.000
Ho 0.050 0.699 0.672
Ho 0.199 0.550 0.172
Ho 0.301 0.950 0.672
Ho 0.450 0.801 0.172
Ho 0.500 0.500 0.500
Ho 0.550 0.199 0.828
Ho 0.699 0.050 0.328
Ho 0.801 0.450 0.828
Ho 0.950 0.301 0.328
In 0.216 0.216 0.000
In 0.284 0.284 0.500
In 0.716 0.716 0.500
In 0.784 0.784 0.000
Ge 0.132 0.868 0.366
Ge 0.368 0.632 0.866
Ge 0.632 0.368 0.134
Ge 0.868 0.132 0.634
```

---

Here is an optimized crystal structure of Ho8In2Ge from the Alexandria database. Energies are from PBE. Values from VASP.

- space-group type = C2/m (12)
- DFT formation energy (kJ/mol of atoms) = -28.5
- density of states at the Fermi level (states/eV/cell) = 11.8
- final energy (eV/atom) = -4.543

Cell and atoms, written as Quantum ESPRESSO input:
```
&SYSTEM
  ibrav = 0, nat = 11, ntyp = 3
/
ATOMIC_SPECIES
Ho 164.93 Ho.upf
In 114.82 In.upf
Ge 72.64 Ge.upf
CELL_PARAMETERS angstrom
9.498 -2.534 0.000
9.498 2.534 0.000
-1.641 0.000 6.488
ATOMIC_POSITIONS crystal
Ho 0.020 0.020 0.272
Ho 0.214 0.214 0.810
Ho 0.349 0.349 0.516
Ho 0.410 0.410 0.044
Ho 0.590 0.590 0.956
Ho 0.651 0.651 0.484
Ho 0.786 0.786 0.190
Ho 0.980 0.980 0.728
In 0.183 0.183 0.252
In 0.817 0.817 0.748
Ge 0.500 0.500 0.500
```